[1]
# K3Np2HgS6

A geometry-optimized K3Np2HgS6 structure (GGA-PBE, the Alexandria database).

Properties
* volume: 26.6 Å³/atom

Lattice parameters (Å, degrees): 7.097 7.097 7.670 98.68 98.68 119.90
Sites, in units of the cell vectors:
K1 0.000 0.000 0.000
K2 0.342 0.658 0.000
K3 0.658 0.342 0.000
Np1 0.168 0.832 0.500
Np2 0.832 0.168 0.500
Hg1 0.500 0.500 0.500
S1 0.078 0.432 0.296
S2 0.217 0.217 0.699
S3 0.432 0.078 0.296
S4 0.568 0.922 0.704
S5 0.783 0.783 0.301
S6 0.922 0.568 0.704

***

[2]
# KNpHgSe3

A geometry-optimized KNpHgSe3 structure (GGA-PBE, the Alexandria database).

Properties
* volume: 30.3 Å³/atom

Lattice parameters (Å, degrees): 8.964 4.189 9.987 90.00 104.47 90.00
Sites, in units of the cell vectors:
K1 0.198 0.250 0.237
K2 0.802 0.750 0.763
Np1 0.339 0.750 0.845
Np2 0.661 0.250 0.155
Hg1 0.112 0.250 0.562
Hg2 0.888 0.750 0.438
Se1 0.124 0.250 0.852
Se2 0.322 0.750 0.564
Se3 0.441 0.750 0.139
Se4 0.559 0.250 0.861
Se5 0.678 0.250 0.436
Se6 0.876 0.750 0.148

***

no.,formation energy without anion corrections (meV/atom)
1,-1139.6
2,-884.3